! PBE AcErTlRh, optimized geometry; values from VASP
! Energy of formation, meV/atom: -340
! SG: F-43m (216)
&SYSTEM
  ibrav = 0, nat = 4, ntyp = 4
/
ATOMIC_SPECIES
Ac 227.00 Ac.upf
Er 167.26 Er.upf
Tl 204.38 Tl.upf
Rh 102.91 Rh.upf
CELL_PARAMETERS angstrom
0.000 3.774 3.774
3.774 0.000 3.774
3.774 3.774 0.000
ATOMIC_POSITIONS angstrom
Ac 0.000 0.000 0.000
Er 3.774 3.774 3.774
Tl 5.660 5.660 5.660
Rh 1.887 1.887 1.887

***

! PBE Ac3ErRu, optimized geometry; values from VASP
! Energy of formation, meV/atom: 19
! SG: Pm-3m (221)
&SYSTEM
  ibrav = 0, nat = 5, ntyp = 3
/
ATOMIC_SPECIES
Ac 227.00 Ac.upf
Er 167.26 Er.upf
Ru 101.07 Ru.upf
CELL_PARAMETERS angstrom
5.767 0.000 0.000
0.000 5.767 0.000
0.000 0.000 5.767
ATOMIC_POSITIONS angstrom
Ac 0.000 0.000 2.884
Ac 0.000 2.884 0.000
Ac 2.884 0.000 0.000
Er 2.884 2.884 2.884
Ru 0.000 0.000 0.000

***

! PBE AcEr2Ru, optimized geometry; values from VASP
! Energy of formation, meV/atom: -218
! SG: P4/mmm (123)
&SYSTEM
  ibrav = 0, nat = 4, ntyp = 3
/
ATOMIC_SPECIES
Ac 227.00 Ac.upf
Er 167.26 Er.upf
Ru 101.07 Ru.upf
CELL_PARAMETERS angstrom
3.494 0.000 0.000
0.000 3.494 0.000
0.000 0.000 9.237
ATOMIC_POSITIONS angstrom
Ac 0.000 0.000 0.000
Er 1.747 1.747 3.025
Er 1.747 1.747 6.212
Ru 0.000 0.000 4.619

***

! PBE Ac2ErRu, optimized geometry; values from VASP
! Energy of formation, meV/atom: 311
! SG: R-3m (166)
&SYSTEM
  ibrav = 0, nat = 4, ntyp = 3
/
ATOMIC_SPECIES
Ac 227.00 Ac.upf
Er 167.26 Er.upf
Ru 101.07 Ru.upf
CELL_PARAMETERS angstrom
2.763 1.595 4.495
-2.763 1.595 4.495
0.000 -3.191 4.495
ATOMIC_POSITIONS angstrom
Ac 0.000 0.000 3.376
Ac 0.000 0.000 10.108
Er 0.000 0.000 0.000
Ru 0.000 0.000 6.742

***

! PBE AcErRu, optimized geometry; values from VASP
! Energy of formation, meV/atom: -255
! SG: P4/nmm (129)
&SYSTEM
  ibrav = 0, nat = 6, ntyp = 3
/
ATOMIC_SPECIES
Ac 227.00 Ac.upf
Er 167.26 Er.upf
Ru 101.07 Ru.upf
CELL_PARAMETERS angstrom
4.744 0.000 0.000
0.000 4.744 0.000
0.000 0.000 7.271
ATOMIC_POSITIONS angstrom
Ac 1.186 1.186 0.922
Ac 3.558 3.558 6.349
Er 1.186 3.558 3.635
Er 3.558 1.186 3.635
Ru 1.186 1.186 5.307
Ru 3.558 3.558 1.964

***

! PBE AcErRu, optimized geometry; values from VASP
! Energy of formation, meV/atom: -162
! SG: I4mm (107)
&SYSTEM
  ibrav = 0, nat = 3, ntyp = 3
/
ATOMIC_SPECIES
Ac 227.00 Ac.upf
Er 167.26 Er.upf
Ru 101.07 Ru.upf
CELL_PARAMETERS angstrom
-1.769 1.769 6.786
1.769 -1.769 6.786
1.769 1.769 -6.786
ATOMIC_POSITIONS angstrom
Ac 0.000 0.000 0.000
Er 0.000 0.000 3.420
Ru 0.000 0.000 8.713

***

! PBE Ac2Er3Ru2, optimized geometry; values from VASP
! Energy of formation, meV/atom: -275
! SG: C2/m (12)
&SYSTEM
  ibrav = 0, nat = 7, ntyp = 3
/
ATOMIC_SPECIES
Ac 227.00 Ac.upf
Er 167.26 Er.upf
Ru 101.07 Ru.upf
CELL_PARAMETERS angstrom
6.239 -1.992 0.000
6.239 1.992 0.000
-4.221 0.000 8.061
ATOMIC_POSITIONS angstrom
Ac 0.796 0.000 2.337
Ac 7.462 0.000 5.723
Er 4.316 0.000 0.629
Er 4.129 0.000 4.030
Er 3.942 0.000 7.432
Ru -0.997 0.000 5.947
Ru 9.255 0.000 2.113

***

! PBE AcErRu, optimized geometry; values from VASP
! Energy of formation, meV/atom: -208
! SG: P2_1/c (14)
&SYSTEM
  ibrav = 0, nat = 12, ntyp = 3
/
ATOMIC_SPECIES
Ac 227.00 Ac.upf
Er 167.26 Er.upf
Ru 101.07 Ru.upf
CELL_PARAMETERS angstrom
6.787 0.000 0.000
0.000 7.048 0.000
-6.065 0.000 7.751
ATOMIC_POSITIONS angstrom
Ac -1.281 0.537 3.045
Ac -4.313 2.987 6.920
Ac 5.035 4.061 0.830
Ac 2.003 6.511 4.706
Er -1.160 4.056 4.717
Er 1.872 6.516 0.842
Er -1.150 0.532 6.909
Er 1.882 2.992 3.033
Ru 0.255 5.169 2.582
Ru -2.777 5.404 6.458
Ru 3.500 1.644 1.293
Ru 0.467 1.880 5.168

***

! PBE AcErRu, optimized geometry; values from VASP
! Energy of formation, meV/atom: -151
! SG: F-43m (216)
&SYSTEM
  ibrav = 0, nat = 3, ntyp = 3
/
ATOMIC_SPECIES
Ac 227.00 Ac.upf
Er 167.26 Er.upf
Ru 101.07 Ru.upf
CELL_PARAMETERS angstrom
0.000 3.516 3.516
3.516 0.000 3.516
3.516 3.516 0.000
ATOMIC_POSITIONS angstrom
Ac 0.000 0.000 0.000
Er 3.516 3.516 3.516
Ru 1.758 1.758 1.758

***

! PBE AcErRu4, optimized geometry; values from VASP
! Energy of formation, meV/atom: -82
! SG: F-43m (216)
&SYSTEM
  ibrav = 0, nat = 6, ntyp = 3
/
ATOMIC_SPECIES
Ac 227.00 Ac.upf
Er 167.26 Er.upf
Ru 101.07 Ru.upf
CELL_PARAMETERS angstrom
0.000 3.850 3.850
3.850 0.000 3.850
3.850 3.850 0.000
ATOMIC_POSITIONS angstrom
Ac 0.000 0.000 0.000
Er 1.925 1.925 1.925
Ru 4.806 2.893 2.893
Ru 2.893 4.806 2.893
Ru 2.893 2.893 4.806
Ru 4.806 4.806 4.806

***

! PBE AcEr2Ru, optimized geometry; values from VASP
! Energy of formation, meV/atom: 59
! SG: R-3m (166)
&SYSTEM
  ibrav = 0, nat = 4, ntyp = 3
/
ATOMIC_SPECIES
Ac 227.00 Ac.upf
Er 167.26 Er.upf
Ru 101.07 Ru.upf
CELL_PARAMETERS angstrom
1.875 1.082 10.690
-1.875 1.082 10.690
0.000 -2.165 10.690
ATOMIC_POSITIONS angstrom
Ac 0.000 0.000 0.000
Er 0.000 0.000 3.706
Er 0.000 0.000 28.366
Ru 0.000 0.000 16.036

***

! PBE AcErZnRu, optimized geometry; values from VASP
! Energy of formation, meV/atom: -166
! SG: F-43m (216)
&SYSTEM
  ibrav = 0, nat = 4, ntyp = 4
/
ATOMIC_SPECIES
Ac 227.00 Ac.upf
Er 167.26 Er.upf
Zn 65.41 Zn.upf
Ru 101.07 Ru.upf
CELL_PARAMETERS angstrom
0.000 3.623 3.623
3.623 0.000 3.623
3.623 3.623 0.000
ATOMIC_POSITIONS angstrom
Ac 0.000 0.000 0.000
Er 3.623 3.623 3.623
Zn 5.435 5.435 5.435
Ru 1.812 1.812 1.812

***

no.,DOS at the Fermi energy (states/eV/atom)
1,0.7664
2,1.3819
3,0.7134
4,1.7954
5,0.6825
6,0.5411
7,0.6114
8,0.4582
9,0.9132
10,1.4867
11,1.2290
12,0.9772